(1)
# CaZnIr2Os, relaxed, DFT PBE
# - formation enthalpy at 0 K (kJ per mole of atoms) = 246.0
data_CaZnIr2Os
_cell_length_a 4.746
_cell_length_b 4.746
_cell_length_c 4.702
_cell_angle_alpha 90.00
_cell_angle_beta 90.00
_cell_angle_gamma 90.00
_space_group_name_H-M_alt 'P 4/m m m'
_space_group_IT_number 123
_space_group_name_Hall '-P 4 2'
loop_
_atom_site_label
_atom_site_fract_x
_atom_site_fract_y
_atom_site_fract_z
Ca1 0.000 0.000 0.000
Zn1 0.500 0.500 0.500
Ir1 0.000 0.500 0.000
Os1 0.000 0.000 0.500

=====

(2)
# Tl2CBr, relaxed, DFT PBE
# - energy relative to the lowest polymorph listed for this composition (eV per formula unit) = 0.00
# - uncorrected formation energy (meV/atom) = 667
data_Tl2CBr
_cell_length_a 6.432
_cell_length_b 6.432
_cell_length_c 11.642
_cell_angle_alpha 90.00
_cell_angle_beta 90.00
_cell_angle_gamma 90.00
_space_group_name_H-M_alt 'I -4 2 d'
_space_group_IT_number 122
_space_group_name_Hall 'I -4 2bw'
loop_
_atom_site_label
_atom_site_fract_x
_atom_site_fract_y
_atom_site_fract_z
Tl1 0.134 0.250 0.125
C1 0.000 0.000 0.000
Br1 0.000 0.000 0.500

=====

(3)
# In2BiF2, relaxed, DFT PBE
# - energy relative to the lowest polymorph listed for this composition (eV per formula unit) = 0.08
# - uncorrected formation energy (meV/atom) = -1052
data_In2BiF2
_cell_length_a 5.416
_cell_length_b 5.416
_cell_length_c 8.071
_cell_angle_alpha 90.00
_cell_angle_beta 90.00
_cell_angle_gamma 90.00
_space_group_name_H-M_alt 'I 4/m m m'
_space_group_IT_number 139
_space_group_name_Hall '-I 4 2'
loop_
_atom_site_label
_atom_site_fract_x
_atom_site_fract_y
_atom_site_fract_z
In1 0.000 0.500 0.250
Bi1 0.000 0.000 0.000
F1 0.000 0.000 0.302

=====

(4)
# Gd2MgRu, relaxed, DFT PBE
# - formation enthalpy at 0 K (kJ per mole of atoms) = -11.2
data_Gd2MgRu
_cell_length_a 4.993
_cell_length_b 4.993
_cell_length_c 3.684
_cell_angle_alpha 90.00
_cell_angle_beta 90.00
_cell_angle_gamma 90.00
_space_group_name_H-M_alt 'P 4/m m m'
_space_group_IT_number 123
_space_group_name_Hall '-P 4 2'
loop_
_atom_site_label
_atom_site_fract_x
_atom_site_fract_y
_atom_site_fract_z
Gd1 0.000 0.500 0.000
Mg1 0.000 0.000 0.500
Ru1 0.500 0.500 0.500

=====

(5)
# Be2SiBr, relaxed, DFT PBE
# - energy relative to the lowest polymorph listed for this composition (eV per formula unit) = 3.07
# - uncorrected formation energy (meV/atom) = 1060
data_Be2SiBr
_cell_length_a 6.167
_cell_length_b 6.167
_cell_length_c 6.167
_cell_angle_alpha 90.00
_cell_angle_beta 90.00
_cell_angle_gamma 90.00
_space_group_name_H-M_alt 'F m -3 m'
_space_group_IT_number 225
_space_group_name_Hall '-F 4 2 3'
loop_
_atom_site_label
_atom_site_fract_x
_atom_site_fract_y
_atom_site_fract_z
Be1 0.250 0.250 0.250
Si1 0.000 0.000 0.000
Br1 0.000 0.000 0.500

=====

(6)
# DyErLuPu, relaxed, DFT PBE
# - formation enthalpy at 0 K (kJ per mole of atoms) = 17.0
data_DyErLuPu
_cell_length_a 7.815
_cell_length_b 7.815
_cell_length_c 7.815
_cell_angle_alpha 90.00
_cell_angle_beta 90.00
_cell_angle_gamma 90.00
_space_group_name_H-M_alt 'F -4 3 m'
_space_group_IT_number 216
_space_group_name_Hall 'F -4 2 3'
loop_
_atom_site_label
_atom_site_fract_x
_atom_site_fract_y
_atom_site_fract_z
Dy1 0.000 0.000 0.000
Er1 0.250 0.250 0.750
Lu1 0.250 0.250 0.250
Pu1 0.000 0.000 0.500

=====

(7)
# Sm3Mo2N7, relaxed, DFT PBE
# - uncorrected formation energy (meV/atom) = -645
data_Sm3Mo2N7
_cell_length_a 4.059
_cell_length_b 20.329
_cell_length_c 3.861
_cell_angle_alpha 90.00
_cell_angle_beta 90.00
_cell_angle_gamma 90.00
_space_group_name_H-M_alt 'C m m m'
_space_group_IT_number 65
_space_group_name_Hall '-C 2 2'
loop_
_atom_site_label
_atom_site_fract_x
_atom_site_fract_y
_atom_site_fract_z
Sm1 0.000 0.000 0.000
Sm2 0.000 0.179 0.000
Mo1 0.000 0.397 0.500
N1 0.000 0.097 0.500
N2 0.000 0.299 0.500
N3 0.000 0.399 0.000
N4 0.000 0.500 0.500

=====

(8)
# LiThSi2Pt7, relaxed, DFT PBE
# - uncorrected formation energy (meV/atom) = -649
data_LiThSi2Pt7
_cell_length_a 4.199
_cell_length_b 4.199
_cell_length_c 20.377
_cell_angle_alpha 90.00
_cell_angle_beta 90.00
_cell_angle_gamma 90.00
_space_group_name_H-M_alt 'I -4 m 2'
_space_group_IT_number 119
_space_group_name_Hall 'I -4 -2'
loop_
_atom_site_label
_atom_site_fract_x
_atom_site_fract_y
_atom_site_fract_z
Li1 0.000 0.000 0.000
Th1 0.000 0.500 0.750
Si1 0.000 0.500 0.075
Pt1 0.000 0.000 0.141
Pt2 0.000 0.000 0.359
Pt3 0.000 0.500 0.250
Pt4 0.000 0.500 0.540

=====

(9)
# BaTe2Ru, relaxed, DFT PBE
# - energy relative to the lowest polymorph listed for this composition (eV per formula unit) = 2.72
# - uncorrected formation energy (meV/atom) = 9
data_BaTe2Ru
_cell_length_a 5.411
_cell_length_b 5.411
_cell_length_c 3.873
_cell_angle_alpha 90.00
_cell_angle_beta 90.00
_cell_angle_gamma 90.00
_space_group_name_H-M_alt 'P 4/m m m'
_space_group_IT_number 123
_space_group_name_Hall '-P 4 2'
loop_
_atom_site_label
_atom_site_fract_x
_atom_site_fract_y
_atom_site_fract_z
Ba1 0.000 0.000 0.000
Te1 0.000 0.500 0.500
Ru1 0.500 0.500 0.000

=====

(10)
# Tb2Sm2Zn3, relaxed, DFT PBE
# - formation enthalpy at 0 K (kJ per mole of atoms) = -18.8
data_Tb2Sm2Zn3
_cell_length_a 5.048
_cell_length_b 5.053
_cell_length_c 8.703
_cell_angle_alpha 73.21
_cell_angle_beta 73.24
_cell_angle_gamma 60.06
_space_group_name_H-M_alt 'P -1'
_space_group_IT_number 2
_space_group_name_Hall '-P 1'
loop_
_atom_site_label
_atom_site_fract_x
_atom_site_fract_y
_atom_site_fract_z
Tb1 0.123 0.122 0.133
Sm1 0.375 0.372 0.381
Zn1 0.245 0.247 0.761
Zn2 0.500 0.500 0.000

=====

(11)
# Ca3Se, relaxed, DFT PBE
# - energy relative to the lowest polymorph listed for this composition (eV per formula unit) = 1.82
# - uncorrected formation energy (meV/atom) = -451
data_Ca3Se
_cell_length_a 10.8644
_cell_length_b 10.8644
_cell_length_c 3.8412
_cell_angle_alpha 90.00
_cell_angle_beta 90.00
_cell_angle_gamma 120.00
_space_group_name_H-M_alt 'R -3 m'
_space_group_IT_number 166
_space_group_name_Hall '-R 3 2"'
loop_
_atom_site_label
_atom_site_fract_x
_atom_site_fract_y
_atom_site_fract_z
Ca1 0.0000 0.5000 0.0000
Se1 0.0000 0.0000 0.0000

=====

(12)
# MnIn2W, relaxed, DFT PBE
# - energy relative to the lowest polymorph listed for this composition (eV per formula unit) = 1.52
# - formation enthalpy at 0 K (kJ per mole of atoms) = 67.7
data_MnIn2W
_cell_length_a 6.608
_cell_length_b 6.608
_cell_length_c 6.608
_cell_angle_alpha 90.00
_cell_angle_beta 90.00
_cell_angle_gamma 90.00
_space_group_name_H-M_alt 'F -4 3 m'
_space_group_IT_number 216
_space_group_name_Hall 'F -4 2 3'
loop_
_atom_site_label
_atom_site_fract_x
_atom_site_fract_y
_atom_site_fract_z
Mn1 0.000 0.000 0.000
In1 0.000 0.000 0.500
In2 0.250 0.250 0.750
W1 0.250 0.250 0.250